1.
This record from Alexandria describes an optimized crystal structure of KRu2Au. The functional is GGA-PBEsol.

a b c (Å): 4.594 4.594 4.594
angles (deg): 60.00 60.00 60.00
Fractional positions:
K (0.000, 0.000, 0.000)
Ru (0.250, 0.250, 0.250)
Ru (0.750, 0.750, 0.750)
Au (0.500, 0.500, 0.500)

Output
SG: Fm-3m, No. 225
Density of states at the Fermi level: 1.014 states/eV/atom
DFT formation energy: 33.76 kcal/mol of atoms
Total magnetization: 3.66 μB per cell
Energy: -19.55 eV for the cell shown
ΔE to the lowest computed polymorph: 958.6 meV/atom

---

2.
This record from Alexandria describes an optimized crystal structure of KRu2Au. The functional is GGA-PBEsol.

a b c (Å): 2.740 3.519 8.011
angles (deg): 90.00 90.00 90.00
Fractional positions:
K (0.000, 0.000, 0.000)
Ru (0.000, 0.000, 0.471)
Ru (0.500, 0.500, 0.331)
Au (0.500, 0.500, 0.691)

Output
SG: Pmm2, No. 25
Density of states at the Fermi level: 0.685 states/eV/atom
DFT formation energy: 11.65 kcal/mol of atoms
Total magnetization: 0.00 μB per cell
Energy: -23.38 eV for the cell shown
ΔE to the lowest computed polymorph: 0.0 meV/atom

---

3.
This record from Alexandria describes an optimized crystal structure of K2RuAu. The functional is GGA-PBEsol.

a b c (Å): 5.675 5.675 5.356
angles (deg): 96.03 96.03 28.11
Fractional positions:
K (0.249, 0.249, 0.250)
K (0.751, 0.751, 0.750)
Ru (0.500, 0.500, 0.000)
Au (0.000, 0.000, 0.500)

Output
SG: C2/m, No. 12
Density of states at the Fermi level: 0.404 states/eV/atom
DFT formation energy: 19.41 kcal/mol of atoms
Total magnetization: 0.00 μB per cell
Energy: -13.00 eV for the cell shown

---

4.
This record from Alexandria describes an optimized crystal structure of KRu2Au. The functional is GGA-PBEsol.

a b c (Å): 5.520 5.520 2.536
angles (deg): 90.00 90.00 118.72
Fractional positions:
K (0.000, 0.000, 0.000)
Ru (0.000, 0.500, 0.500)
Ru (0.500, 0.000, 0.500)
Au (0.500, 0.500, 0.000)

Output
SG: Cmmm, No. 65
Density of states at the Fermi level: 1.194 states/eV/atom
DFT formation energy: 25.35 kcal/mol of atoms
Total magnetization: 0.00 μB per cell
Energy: -21.00 eV for the cell shown
ΔE to the lowest computed polymorph: 594.3 meV/atom

---

5.
This record from Alexandria describes an optimized crystal structure of KAu3S. The functional is GGA-PBEsol.

a b c (Å): 4.910 4.910 4.910
angles (deg): 90.00 90.00 90.00
Fractional positions:
K (0.000, 0.000, 0.000)
Au (0.000, 0.500, 0.500)
Au (0.500, 0.000, 0.500)
Au (0.500, 0.500, 0.000)
S (0.500, 0.500, 0.500)

Output
Formation energy from raw total energies: 13 kJ per mole of atoms
SG: Pm-3m, No. 221
Density of states at the Fermi level: 0.422 states/eV/atom
Total magnetization: 0.00 μB per cell
Energy: -16.61 eV for the cell shown

---

6.
This record from Alexandria describes an optimized crystal structure of K4Au6S5. The functional is GGA-PBEsol.

a b c (Å): 9.519 9.519 9.790
angles (deg): 90.00 90.00 120.00
Fractional positions:
K (0.000, 0.000, 0.000)
K (0.000, 0.000, 0.500)
K (0.066, 0.649, 0.250)
K (0.351, 0.417, 0.250)
K (0.417, 0.351, 0.750)
K (0.583, 0.934, 0.250)
K (0.649, 0.066, 0.750)
K (0.934, 0.583, 0.750)
Au (0.162, 0.448, 0.584)
Au (0.162, 0.448, 0.916)
Au (0.287, 0.838, 0.584)
Au (0.287, 0.838, 0.916)
Au (0.448, 0.162, 0.084)
Au (0.448, 0.162, 0.416)
Au (0.552, 0.713, 0.584)
Au (0.552, 0.713, 0.916)
Au (0.713, 0.552, 0.084)
Au (0.713, 0.552, 0.416)
Au (0.838, 0.287, 0.084)
Au (0.838, 0.287, 0.416)
S (0.028, 0.255, 0.750)
S (0.227, 0.972, 0.750)
S (0.255, 0.028, 0.250)
S (0.333, 0.667, 0.052)
S (0.333, 0.667, 0.448)
S (0.667, 0.333, 0.552)
S (0.667, 0.333, 0.948)
S (0.745, 0.773, 0.750)
S (0.773, 0.745, 0.250)
S (0.972, 0.227, 0.250)

Output
Formation energy from raw total energies: -59 kJ per mole of atoms
SG: P-62c, No. 190
Total magnetization: 0.00 μB per cell
Energy: -118.26 eV for the cell shown